(1)
An optimized crystal structure of As3PS, computed with PBE.

Structure (CIF):
```
data_As3PS
_chemical_formula_sum 'As3 P1 S1'
_cell_length_a 4.761
_cell_length_b 4.761
_cell_length_c 4.761
_cell_angle_alpha 90.00
_cell_angle_beta 90.00
_cell_angle_gamma 90.00
_symmetry_space_group_name_H-M 'P m -3 m'
_symmetry_Int_Tables_number 221
_symmetry_space_group_name_Hall '-P 4 2 3'
loop_
_atom_site_label
_atom_site_fract_x
_atom_site_fract_y
_atom_site_fract_z
As1 0.000 0.000 0.500
P1 0.000 0.000 0.000
S1 0.500 0.500 0.500
```

Properties
energy relative to the lowest polymorph listed for this composition: 0.000 eV/atom
raw formation energy: 451 kJ/mol of formula units

***

(2)
An optimized crystal structure of As2PS, computed with PBE.

Structure (CIF):
```
data_As2PS
_chemical_formula_sum 'As8 P4 S4'
_cell_length_a 6.484
_cell_length_b 6.484
_cell_length_c 6.484
_cell_angle_alpha 90.00
_cell_angle_beta 90.00
_cell_angle_gamma 90.00
_symmetry_space_group_name_H-M 'F m -3 m'
_symmetry_Int_Tables_number 225
_symmetry_space_group_name_Hall '-F 4 2 3'
loop_
_atom_site_label
_atom_site_fract_x
_atom_site_fract_y
_atom_site_fract_z
As1 0.250 0.250 0.250
P1 0.000 0.000 0.000
S1 0.000 0.000 0.500
```

Properties
energy relative to the lowest polymorph listed for this composition: 0.213 eV/atom
raw formation energy: 214 kJ/mol of formula units